Density functional theory data (PBE with a Hubbard U) for CaTl2WO6 after structural relaxation.

a b c (Å): 5.8357 5.9469 10.1928
angles (deg): 90.00 124.83 90.00
Closest atoms and distances in Å follow each position.
Fractional coordinates of all 20 atoms:
Ca1 0.0000 0.0000 0.0000  6 O 2.35-2.39
Ca2 0.0000 0.5000 0.5000  6 O 2.35-2.39
Tl1 0.2411 0.0330 0.7468  4 O 2.44-2.63
Tl2 0.2411 0.4670 0.2468  4 O 2.44-2.63
Tl3 0.7589 0.5330 0.7532  4 O 2.44-2.63
Tl4 0.7589 0.9670 0.2532  4 O 2.44-2.63
W1 0.5000 0.0000 0.5000  6 O 1.96-1.97
W2 0.5000 0.5000 0.0000  6 O 1.96-1.97
O1 0.1806 0.1778 0.4558  1 W 1.96
O2 0.1806 0.3222 0.9558  1 W 1.96
O3 0.2755 0.7250 0.4451  1 W 1.97
O4 0.2755 0.7750 0.9451  1 W 1.97
O5 0.3707 0.0377 0.2751  1 W 1.97
O6 0.3707 0.4623 0.7751  1 W 1.97
O7 0.6293 0.5377 0.2249  1 W 1.97
O8 0.6293 0.9623 0.7249  1 W 1.97
O9 0.7245 0.2250 0.0549  1 W 1.97
O10 0.7245 0.2750 0.5549  1 W 1.97
O11 0.8194 0.6778 0.0442  1 W 1.96
O12 0.8194 0.8222 0.5442  1 W 1.96

Properties
SG: P2_1/c, No. 14
Final energy (eV per atom): -6.01
Total magnetization (μB per formula unit): 0.00